## NdDy2HoTm5 (PBE-GGA)

Data for crystalline NdDy2HoTm5 at its relaxed geometry.

Output
electronic total energy: -4.26 eV per atom

Lattice parameters (Å, degrees): 9.596 9.596 9.596 124.96 124.96 81.60
Positions (direct):
Nd  0.250  0.250  0.000
Nd  0.750  0.750  0.000
Dy  0.113  0.613  0.725
Dy  0.387  0.113  0.500
Dy  0.613  0.887  0.500
Dy  0.887  0.387  0.275
Ho  0.250  0.750  0.500
Ho  0.750  0.250  0.500
Tm  0.000  0.000  0.000
Tm  0.073  0.162  0.500
Tm  0.162  0.662  0.089
Tm  0.338  0.427  0.500
Tm  0.427  0.927  0.089
Tm  0.500  0.500  0.000
Tm  0.573  0.073  0.911
Tm  0.662  0.573  0.500
Tm  0.838  0.338  0.911
Tm  0.927  0.838  0.500

## KAl3Si (PBE-GGA)

Data for crystalline KAl3Si at its relaxed geometry.

Output
uncorrected formation energy: 0.51 eV per atom

Lattice parameters (Å, degrees): 5.085 5.085 5.085 90.00 90.00 90.00
Positions (direct):
K  0.000  0.000  0.000
Al  0.000  0.500  0.500
Al  0.500  0.000  0.500
Al  0.500  0.500  0.000
Si  0.500  0.500  0.500

## SrTlAg (PBE-GGA)

Data for crystalline SrTlAg at its relaxed geometry.

Output
electronic total energy: -2.14 eV per atom

Lattice parameters (Å, degrees): 7.540 7.540 7.540 90.00 90.00 90.00
Positions (direct):
Sr  0.000  0.000  0.000
Sr  0.000  0.500  0.500
Sr  0.500  0.000  0.500
Sr  0.500  0.500  0.000
Tl  0.250  0.250  0.750
Tl  0.250  0.750  0.250
Tl  0.750  0.250  0.250
Tl  0.750  0.750  0.750
Ag  0.250  0.250  0.250
Ag  0.250  0.750  0.750
Ag  0.750  0.250  0.750
Ag  0.750  0.750  0.250

## Cd2H5Rh3 (PBE-GGA)

Data for crystalline Cd2H5Rh3 at its relaxed geometry.

Output
electronic total energy: -4.06 eV per atom

Lattice parameters (Å, degrees): 6.909 6.909 6.909 106.96 90.95 133.75
Positions (direct):
Cd  0.233  0.121  0.354
Cd  0.267  0.621  0.888
Cd  0.733  0.379  0.112
Cd  0.767  0.879  0.646
H  0.097  0.439  0.536
H  0.250  0.250  0.000
H  0.250  0.528  0.278
H  0.250  0.972  0.722
H  0.403  0.939  0.341
H  0.597  0.061  0.659
H  0.750  0.028  0.278
H  0.750  0.472  0.722
H  0.750  0.750  0.000
H  0.903  0.561  0.464
Rh  0.053  0.845  0.897
Rh  0.250  0.750  0.500
Rh  0.447  0.345  0.792
Rh  0.553  0.655  0.208
Rh  0.750  0.250  0.500
Rh  0.947  0.155  0.103